No. 1
# DyY14In, relaxed, DFT GGA-PBE
data_DyY14In
_chemical_formula_sum 'Dy1 Y14 In1'
_cell_length_a 7.081
_cell_length_b 7.081
_cell_length_c 10.061
_cell_angle_alpha 90.00
_cell_angle_beta 90.00
_cell_angle_gamma 90.00
_symmetry_space_group_name_H-M 'P 4/m m m'
_symmetry_Int_Tables_number 123
_symmetry_space_group_name_Hall '-P 4 2'
loop_
_atom_site_label
_atom_site_type_symbol
_atom_site_fract_x
_atom_site_fract_y
_atom_site_fract_z
Dy1 Dy 0.000 0.000 0.000
Y1 Y 0.000 0.000 0.500
Y2 Y 0.000 0.500 0.000
Y3 Y 0.000 0.500 0.500
Y4 Y 0.251 0.251 0.247
Y5 Y 0.500 0.500 0.500
In1 In 0.500 0.500 0.000
# Uncorrected energy   -6.139 eV per atom
# DOS at the Fermi energy   25.8 states/eV/cell

No. 2
# DyY6In, relaxed, DFT GGA-PBE
data_DyY6In
_chemical_formula_sum 'Dy1 Y6 In1'
_cell_length_a 4.921
_cell_length_b 4.921
_cell_length_c 10.083
_cell_angle_alpha 90.00
_cell_angle_beta 90.00
_cell_angle_gamma 90.00
_symmetry_space_group_name_H-M 'P 4/m m m'
_symmetry_Int_Tables_number 123
_symmetry_space_group_name_Hall '-P 4 2'
loop_
_atom_site_label
_atom_site_type_symbol
_atom_site_fract_x
_atom_site_fract_y
_atom_site_fract_z
Dy1 Dy 0.000 0.000 0.000
Y1 Y 0.000 0.500 0.256
Y2 Y 0.500 0.500 0.000
Y3 Y 0.500 0.500 0.500
In1 In 0.000 0.000 0.500
# E above lowest polymorph   0.000 eV per atom
# DOS at the Fermi energy   9.9 states/eV/cell

No. 3
# DyY3In, relaxed, DFT GGA-PBE
data_DyY3In
_chemical_formula_sum 'Dy6 Y18 In6'
_cell_length_a 7.1327
_cell_length_b 7.1327
_cell_length_c 22.4000
_cell_angle_alpha 90.00
_cell_angle_beta 90.00
_cell_angle_gamma 120.00
_symmetry_space_group_name_H-M 'R -3 m'
_symmetry_Int_Tables_number 166
_symmetry_space_group_name_Hall '-R 3 2"'
loop_
_atom_site_label
_atom_site_type_symbol
_atom_site_fract_x
_atom_site_fract_y
_atom_site_fract_z
Dy1 Dy 0.0000 0.0000 0.0873
Y1 Y 0.0039 0.5019 0.8922
In1 In 0.0000 0.0000 0.3338
# E above lowest polymorph   0.198 eV per atom
# DOS at the Fermi energy   40.5 states/eV/cell